[1]
Dy3Ga4Ru2 (GGA-PBE, relaxed); excess energy over the best structure of this formula in the dataset = 0.65 kcal/mol of atoms; formation enthalpy at 0 K = -54 kJ per mole of atoms
1.0
5.182 -2.175 0.000
5.182 2.175 0.000
-2.157 0.000 8.020
Dy Ga Ru
3 4 2
Direct
0.000 0.000 0.000 Dy
0.381 0.381 0.623 Dy
0.619 0.619 0.377 Dy
0.096 0.096 0.650 Ga
0.300 0.300 0.941 Ga
0.700 0.700 0.059 Ga
0.904 0.904 0.350 Ga
0.286 0.286 0.243 Ru
0.714 0.714 0.757 Ru

=====

[2]
TbTmThZr (GGA-PBE, relaxed); formation enthalpy at 0 K = 15 kJ per mole of atoms
1.0
0.000 3.865 3.865
3.865 0.000 3.865
3.865 3.865 0.000
Tb Tm Th Zr
1 1 1 1
Direct
0.000 0.000 0.000 Tb
0.750 0.750 0.750 Tm
0.500 0.500 0.500 Th
0.250 0.250 0.250 Zr

=====

[3]
ZrReAg2 (GGA-PBE, relaxed); excess energy over the best structure of this formula in the dataset = 3.55 kcal/mol of atoms; formation enthalpy at 0 K = 35 kJ per mole of atoms
1.0
2.805 -4.485 0.000
2.805 4.485 0.000
0.000 0.000 2.797
Zr Re Ag
1 1 2
Direct
0.000 0.000 0.000 Zr
0.500 0.500 0.000 Re
0.000 0.500 0.500 Ag
0.500 0.000 0.500 Ag

=====

[4]
ReIrOs2 (GGA-PBE, relaxed); excess energy over the best structure of this formula in the dataset = 3.41 kcal/mol of atoms; formation enthalpy at 0 K = 3 kJ per mole of atoms
1.0
2.743 -3.859 0.000
2.743 3.859 0.000
0.000 0.000 2.741
Re Ir Os
1 1 2
Direct
0.000 0.000 0.000 Re
0.500 0.500 0.000 Ir
0.000 0.500 0.500 Os
0.500 0.000 0.500 Os